## LaPm2Ni2 (PBE)

Data for a relaxed LaPm2Ni2 crystal.

Structure (extended XYZ):
```
10
Lattice="-0.2008 -2.5517 -3.9514 2.7799 -3.6995 2.2478 -9.3504 -3.7997 2.9289" Properties=species:S:1:pos:R:3 pbc="T T T"
Pm -0.8062 -2.8899 -2.2999
Ni -2.9857 -4.1893 -1.3500
La -0.3358 -3.9805 1.1852
Pm -2.7278 -6.5957 0.1909
Ni -8.2550 -5.7893 2.7557
Ni 1.4837 -4.2616 -1.5304
Ni -3.7857 -5.8616 2.5753
Pm -4.0435 -3.4552 1.0344
Pm -5.9651 -7.1610 3.5252
La -6.4355 -6.0704 0.0401
```

Summary:
- total magnetic moment (μB/cell) = 0.00
- uncorrected energy (eV for the cell shown) = -54.20
- energy of formation from the pure elements (eV per atom) = -0.2222